Entry 1:
VASP calculation (GGA-PBE) on a geometry-optimized Pm3Cd2Sn6 structure.

Cell: 4.6115 4.6115 15.2770 Å, 98.68 98.68 90.00°
Sites, in units of the cell vectors:
Pm1 0.0000 0.0000 0.0000
Pm2 0.8410 0.8410 0.6820
Pm3 0.1590 0.1590 0.3180
Cd1 0.3571 0.3571 0.7142
Cd2 0.6429 0.6429 0.2858
Sn1 0.0768 0.5768 0.1536
Sn2 0.5768 0.0768 0.1536
Sn3 0.9232 0.4232 0.8464
Sn4 0.4232 0.9232 0.8464
Sn5 0.7362 0.7362 0.4723
Sn6 0.2638 0.2638 0.5277

E_form   -0.3948 eV/atom
Magnetic moment   0.00 μB per formula unit

---

Entry 2:
VASP calculation (GGA-PBE) on a geometry-optimized Pm3CdSn2 structure.

Cell: 3.5656 3.5656 13.2150 Å, 90.00 90.00 90.00°
Sites, in units of the cell vectors:
Pm1 0.0000 0.0000 0.0000
Pm2 0.0000 0.0000 0.6658
Pm3 0.0000 0.0000 0.3342
Cd1 0.5000 0.5000 0.5000
Sn1 0.5000 0.5000 0.8313
Sn2 0.5000 0.5000 0.1687

E_form   -0.5536 eV/atom
Magnetic moment   0.00 μB per formula unit

---

Entry 3:
VASP calculation (GGA-PBE) on a geometry-optimized Pm12Cd2Sn5 structure.

Cell: 7.7519 9.4338 9.7808 Å, 96.04 90.00 114.26°
Sites, in units of the cell vectors:
Pm1 0.9689 0.9377 0.1753
Pm2 0.0660 0.6526 0.8821
Pm3 0.5866 0.6526 0.8821
Pm4 0.1053 0.7084 0.4257
Pm5 0.6031 0.7084 0.4257
Pm6 0.4809 0.9618 0.6918
Pm7 0.5191 0.0382 0.3082
Pm8 0.8947 0.2916 0.5743
Pm9 0.3969 0.2916 0.5743
Pm10 0.9340 0.3474 0.1179
Pm11 0.4134 0.3474 0.1179
Pm12 0.0311 0.0623 0.8247
Cd1 0.6769 0.0000 0.0000
Cd2 0.3231 0.0000 0.0000
Sn1 0.2904 0.5808 0.6400
Sn2 0.3367 0.6735 0.1542
Sn3 0.0000 0.0000 0.5000
Sn4 0.6633 0.3265 0.8458
Sn5 0.7096 0.4192 0.3600

E_form   -0.2962 eV/atom
Magnetic moment   0.06 μB per formula unit

---

Entry 4:
VASP calculation (GGA-PBE) on a geometry-optimized Pm3Cd4Sn4 structure.

Cell: 4.5168 8.5624 9.0801 Å, 118.13 104.40 90.00°
Sites, in units of the cell vectors:
Pm1 0.1191 0.1191 0.2383
Pm2 0.8809 0.8809 0.7617
Pm3 0.0000 0.5000 0.0000
Cd1 0.3238 0.1202 0.6476
Cd2 0.6762 0.4726 0.3524
Cd3 0.6762 0.8798 0.3524
Cd4 0.3238 0.5274 0.6476
Sn1 0.2193 0.7193 0.4386
Sn2 0.7807 0.2807 0.5614
Sn3 0.5000 0.7949 0.0000
Sn4 0.5000 0.2051 0.0000

E_form   -0.3879 eV/atom
Magnetic moment   0.00 μB per formula unit

---

Entry 5:
VASP calculation (GGA-PBE) on a geometry-optimized PmCd2Sn2 structure.

Cell: 4.4773 4.5140 12.6034 Å, 90.00 100.23 90.00°
Sites, in units of the cell vectors:
Pm1 0.3510 0.2500 0.7019
Pm2 0.6490 0.7500 0.2981
Cd1 0.0445 0.7500 0.0891
Cd2 0.4578 0.7500 0.9157
Cd3 0.9555 0.2500 0.9109
Cd4 0.5422 0.2500 0.0843
Sn1 0.7495 0.2500 0.4989
Sn2 0.2505 0.7500 0.5011
Sn3 0.8688 0.7500 0.7376
Sn4 0.1312 0.2500 0.2624

E_form   -0.3975 eV/atom
Magnetic moment   0.00 μB per formula unit
Energy above the most stable polymorph in this dataset   0 meV per atom

---

Entry 6:
VASP calculation (GGA-PBE) on a geometry-optimized PmCdSn structure.

Cell: 3.6577 4.9738 4.9738 Å, 120.00 90.00 90.00°
Sites, in units of the cell vectors:
Cd1 0.1640 0.6667 0.3333
Sn1 0.1691 0.0000 0.0000
Pm1 0.6669 0.3333 0.6667

E_form   -0.4882 eV/atom
Magnetic moment   0.00 μB per formula unit
Energy above the most stable polymorph in this dataset   23 meV per atom

---

Entry 7:
VASP calculation (GGA-PBE) on a geometry-optimized Pm3Cd2Sn4 structure.

Cell: 4.6667 7.0765 8.5651 Å, 111.37 105.81 90.00°
Sites, in units of the cell vectors:
Pm1 0.8695 0.3783 0.7389
Pm2 0.1305 0.6217 0.2611
Pm3 0.0000 0.0000 0.0000
Cd1 0.3342 0.0042 0.6683
Cd2 0.6658 0.9958 0.3317
Sn1 0.5148 0.3110 0.0296
Sn2 0.7839 0.7372 0.5679
Sn3 0.4852 0.6890 0.9704
Sn4 0.2161 0.2628 0.4321

E_form   -0.5505 eV/atom
Magnetic moment   0.00 μB per formula unit

---

Entry 8:
VASP calculation (GGA-PBE) on a geometry-optimized PmCdSn structure.

Cell: 4.5939 7.7773 13.5629 Å, 86.55 90.00 90.00°
Sites, in units of the cell vectors:
Pm1 0.7500 0.5287 0.3790
Pm2 0.2500 0.9664 0.6999
Pm3 0.7500 0.0336 0.3001
Pm4 0.7500 0.6580 0.0817
Pm5 0.2500 0.4713 0.6210
Pm6 0.2500 0.3420 0.9183
Cd1 0.2500 0.9984 0.0892
Cd2 0.2500 0.8374 0.4529
Cd3 0.7500 0.6198 0.8011
Cd4 0.7500 0.1626 0.5471
Cd5 0.2500 0.3802 0.1989
Cd6 0.7500 0.0016 0.9108
Sn1 0.2500 0.7584 0.9125
Sn2 0.7500 0.2567 0.7509
Sn3 0.7500 0.7598 0.5802
Sn4 0.7500 0.2416 0.0875
Sn5 0.2500 0.2402 0.4198
Sn6 0.2500 0.7433 0.2491

E_form   -0.5114 eV/atom
Magnetic moment   0.00 μB per formula unit
Energy above the most stable polymorph in this dataset   0 meV per atom

---

Entry 9:
VASP calculation (GGA-PBE) on a geometry-optimized PmCd3Sn3 structure.

Cell: 7.8108 7.8108 7.8108 Å, 90.00 90.00 90.00°
Sites, in units of the cell vectors:
Cd1 0.0000 0.2500 0.5000
Cd2 0.0000 0.7500 0.5000
Cd3 0.5000 0.0000 0.7500
Cd4 0.7500 0.5000 0.0000
Cd5 0.5000 0.0000 0.2500
Cd6 0.2500 0.5000 0.0000
Sn1 0.2500 0.0000 0.5000
Sn2 0.0000 0.5000 0.2500
Sn3 0.5000 0.7500 0.0000
Sn4 0.7500 0.0000 0.5000
Sn5 0.0000 0.5000 0.7500
Sn6 0.5000 0.2500 0.0000
Pm1 0.5000 0.5000 0.5000
Pm2 0.0000 0.0000 0.0000

E_form   0.3659 eV/atom
Magnetic moment   0.00 μB per formula unit
Energy above the most stable polymorph in this dataset   477 meV per atom

---

Entry 10:
VASP calculation (GGA-PBE) on a geometry-optimized Pm2Cd2Sn structure.

Cell: 3.9531 3.9531 9.8347 Å, 101.59 101.59 90.00°
Sites, in units of the cell vectors:
Pm1 0.4005 0.4005 0.8011
Pm2 0.5995 0.5995 0.1989
Cd1 0.7500 0.2500 0.5000
Cd2 0.2500 0.7500 0.5000
Sn1 0.0000 0.0000 0.0000

E_form   -0.2295 eV/atom
Magnetic moment   0.00 μB per formula unit
Energy above the most stable polymorph in this dataset   72 meV per atom

---

Entry 11:
VASP calculation (GGA-PBE) on a geometry-optimized Pm5CdSn4 structure.

Cell: 4.0846 4.0846 17.0201 Å, 90.00 90.00 90.00°
Last column: magnetic moment on the atom in μB.
Sites, in units of the cell vectors:
Pm1 0.5000 0.5000 0.1037  0.09
Pm2 0.5000 0.5000 0.3015  0.12
Pm3 0.5000 0.5000 0.5000  0.13
Pm4 0.5000 0.5000 0.6985  0.12
Pm5 0.5000 0.5000 0.8963  0.09
Cd1 0.0000 0.0000 0.0000  0.00
Sn1 0.0000 0.0000 0.2018  0.00
Sn2 0.0000 0.0000 0.4002  0.00
Sn3 0.0000 0.0000 0.5998  0.00
Sn4 0.0000 0.0000 0.7982  0.00

E_form   -0.5782 eV/atom
Magnetic moment   0.95 μB per formula unit

---

Entry 12:
VASP calculation (GGA-PBE) on a geometry-optimized Pm2CdSn2 structure.

Cell: 7.8101 7.8101 9.1859 Å, 90.00 90.00 90.00°
Sites, in units of the cell vectors:
Pm1 0.6747 0.8251 0.5000
Pm2 0.3253 0.1749 0.5000
Pm3 0.8253 0.3251 0.0000
Pm4 0.1747 0.6749 0.0000
Pm5 0.8251 0.3253 0.5000
Pm6 0.1749 0.6747 0.5000
Pm7 0.3251 0.1747 0.0000
Pm8 0.6749 0.8253 0.0000
Cd1 0.5000 0.5000 0.2498
Cd2 0.0000 0.0000 0.7498
Cd3 0.5000 0.5000 0.7502
Cd4 0.0000 0.0000 0.2502
Sn1 0.3701 0.8701 0.2500
Sn2 0.6299 0.1299 0.2500
Sn3 0.1299 0.3701 0.7500
Sn4 0.8701 0.6299 0.7500
Sn5 0.8701 0.6299 0.2500
Sn6 0.1299 0.3701 0.2500
Sn7 0.3701 0.8701 0.7500
Sn8 0.6299 0.1299 0.7500

E_form   -0.6326 eV/atom
Magnetic moment   0.00 μB per formula unit
Energy above the most stable polymorph in this dataset   0 meV per atom

---

Entry 13:
VASP calculation (GGA-PBE) on a geometry-optimized Pm2Cd3Sn2 structure.

Cell: 4.3302 4.2698 10.9052 Å, 101.29 90.00 90.00°
Sites, in units of the cell vectors:
Pm1 0.0000 0.8360 0.6719
Pm2 0.0000 0.1640 0.3281
Cd1 0.5000 0.5660 0.1321
Cd2 0.5000 0.4340 0.8679
Cd3 0.0000 0.0000 0.0000
Sn1 0.5000 0.7038 0.4076
Sn2 0.5000 0.2962 0.5924

E_form   -0.3253 eV/atom
Magnetic moment   0.00 μB per formula unit

---

Entry 14:
VASP calculation (GGA-PBE) on a geometry-optimized Pm7Cd2Sn2 structure.

Cell: 6.9792 7.9875 6.9792 Å, 89.99 109.31 90.01°
Sites, in units of the cell vectors:
Pm1 0.9998 0.2876 0.5003
Pm2 0.5003 0.7124 0.9998
Pm3 0.0002 0.7124 0.4997
Pm4 0.4997 0.2876 0.0002
Pm5 0.0000 0.0000 0.0000
Pm6 0.5002 0.7302 0.4998
Pm7 0.4998 0.2698 0.5002
Cd1 0.8292 0.5000 0.8292
Cd2 0.1708 0.5000 0.1708
Sn1 0.7044 0.0000 0.2956
Sn2 0.2956 0.0000 0.7044

E_form   -0.1715 eV/atom
Magnetic moment   0.01 μB per formula unit

---

Entry 15:
VASP calculation (GGA-PBE) on a geometry-optimized PmCdSn3 structure.

Cell: 6.3630 6.3356 13.2181 Å, 90.00 90.00 90.00°
Sites, in units of the cell vectors:
Pm1 0.7500 0.5061 0.6896
Pm2 0.2500 0.4939 0.3104
Pm3 0.7500 0.0061 0.3104
Pm4 0.2500 0.9939 0.6896
Cd1 0.5000 0.2500 0.1152
Cd2 0.0000 0.7500 0.8848
Cd3 0.5000 0.7500 0.8848
Cd4 0.0000 0.2500 0.1152
Sn1 0.0000 0.2500 0.5000
Sn2 0.5000 0.7500 0.5000
Sn3 0.0000 0.7500 0.5000
Sn4 0.5000 0.2500 0.5000
Sn5 0.2500 0.1970 0.9199
Sn6 0.7500 0.8030 0.0801
Sn7 0.2500 0.6970 0.0801
Sn8 0.7500 0.3030 0.9199
Sn9 0.2500 0.4888 0.7277
Sn10 0.7500 0.5112 0.2723
Sn11 0.2500 0.9888 0.2723
Sn12 0.7500 0.0112 0.7277

E_form   -0.3540 eV/atom
Magnetic moment   0.00 μB per formula unit
Energy above the most stable polymorph in this dataset   0 meV per atom

---

Entry 16:
VASP calculation (GGA-PBE) on a geometry-optimized Pm2Cd3Sn3 structure.

Cell: 4.8223 4.6746 9.0343 Å, 90.00 90.00 90.00°
Sites, in units of the cell vectors:
Pm1 0.0000 0.0000 0.7449
Pm2 0.0000 0.0000 0.2551
Cd1 0.5000 0.5000 0.7596
Cd2 0.5000 0.5000 0.2404
Cd3 0.5000 0.0000 0.0000
Sn1 0.5000 0.0000 0.5000
Sn2 0.0000 0.5000 0.0000
Sn3 0.0000 0.5000 0.5000

E_form   -0.4815 eV/atom
Magnetic moment   0.00 μB per formula unit

---

Entry 17:
VASP calculation (GGA-PBE) on a geometry-optimized Pm2Cd5Sn structure.

Cell: 4.5325 6.6740 13.3862 Å, 90.00 90.00 90.00°
Sites, in units of the cell vectors:
Pm1 0.5000 0.2283 0.6186
Pm2 0.5000 0.7717 0.3814
Pm3 0.5000 0.2717 0.1186
Pm4 0.5000 0.7283 0.8814
Cd1 0.0000 0.0000 0.0000
Cd2 0.0000 0.5000 0.5000
Cd3 0.0000 0.4807 0.7470
Cd4 0.0000 0.5193 0.2530
Cd5 0.0000 0.0193 0.2470
Cd6 0.0000 0.9807 0.7530
Cd7 0.5000 0.2303 0.8674
Cd8 0.5000 0.7697 0.1326
Cd9 0.5000 0.2697 0.3674
Cd10 0.5000 0.7303 0.6326
Sn1 0.0000 0.0000 0.5000
Sn2 0.0000 0.5000 0.0000

E_form   -0.3712 eV/atom
Magnetic moment   0.00 μB per formula unit

---

Entry 18:
VASP calculation (GGA-PBE) on a geometry-optimized Pm5Cd4Sn structure.

Cell: 3.8024 3.8024 19.5026 Å, 90.00 90.00 90.00°
Last column: magnetic moment on the atom in μB.
Sites, in units of the cell vectors:
Pm1 0.5000 0.5000 0.1016  0.00
Pm2 0.5000 0.5000 0.3007  0.09
Pm3 0.5000 0.5000 0.5000  0.10
Pm4 0.5000 0.5000 0.6993  0.09
Pm5 0.5000 0.5000 0.8984  0.00
Cd1 0.0000 0.0000 0.2042  0.00
Cd2 0.0000 0.0000 0.3997  0.01
Cd3 0.0000 0.0000 0.6003  0.01
Cd4 0.0000 0.0000 0.7958  0.00
Sn1 0.0000 0.0000 0.0000  0.00

E_form   -0.3925 eV/atom
Magnetic moment   0.60 μB per formula unit

---

Entry 19:
VASP calculation (GGA-PBE) on a geometry-optimized Pm3Cd4Sn2 structure.

Cell: 4.8036 6.2905 9.3297 Å, 110.94 90.00 112.45°
Sites, in units of the cell vectors:
Pm1 0.6777 0.3553 0.6515
Pm2 0.0000 0.0000 0.0000
Pm3 0.3223 0.6447 0.3485
Cd1 0.7488 0.4976 0.0761
Cd2 0.2512 0.5024 0.9239
Cd3 0.9893 0.9785 0.6457
Cd4 0.0107 0.0215 0.3543
Sn1 0.6116 0.2232 0.2762
Sn2 0.3884 0.7768 0.7238

E_form   -0.4887 eV/atom
Magnetic moment   0.00 μB per formula unit

---

Entry 20:
VASP calculation (GGA-PBE) on a geometry-optimized PmCdSn2 structure.

Cell: 3.9557 3.9557 6.8355 Å, 90.00 90.00 90.00°
Sites, in units of the cell vectors:
Cd1 0.5000 0.5000 0.0000
Sn1 0.0000 0.0000 0.7758
Sn2 0.0000 0.0000 0.2242
Pm1 0.5000 0.5000 0.5000

E_form   -0.3100 eV/atom
Magnetic moment   0.00 μB per formula unit
Energy above the most stable polymorph in this dataset   190 meV per atom